Computed, not measured: HfZnNO after structural relaxation at the PBE-GGA level of DFT.

The volume comes out at 56.9 Å³/f.u. The value obtained for the uncorrected energy is -7.4419 eV per atom. The energy relative to the lowest polymorph listed for this composition is 97 meV/atom.

The space group is Pmc2_1 (No. 26) and the conventional cell measures 3.429, 5.604 and 5.925 Å, with angles of 90.00, 90.00 and 90.00 degrees. The inequivalent atoms are Hf at (0.000, 0.157, 0.000), Zn at (0.500, 0.334, 0.422), N at (0.500, 0.347, 0.067) and O at (0.000, 0.157, 0.656).

***

Computed, not measured: HoRe4SiGe after structural relaxation at the PBE-GGA level of DFT.

The volume comes out at 118.6 Å³/f.u. The value obtained for the uncorrected energy is -9.5429 eV per atom.

The space group is Amm2 (No. 38) and the conventional cell measures 4.054, 4.107 and 14.240 Å, with angles of 90.00, 90.00 and 90.00 degrees. The inequivalent atoms are Ho at (0.000, 0.000, 0.000), Re at (0.000, 0.000, 0.309), Re at (0.000, 0.000, 0.700), Re at (0.500, 0.000, 0.192), Re at (0.500, 0.000, 0.816), Si at (0.500, 0.000, 0.413) and Ge at (0.500, 0.000, 0.584).